No. 1
# ErBRu GGA-PBE relaxed
# Total moment, μB/f.u.: 0.00
# ΔE_f, eV per formula unit: -0.4
# Energy relative to the lowest polymorph listed for this composition, meV/atom: 323
data_ErBRu
_chemical_formula_sum 'Er4 B4 Ru4'
_cell_length_a 3.2185
_cell_length_b 3.7503
_cell_length_c 15.9161
_cell_angle_alpha 90.00
_cell_angle_beta 90.00
_cell_angle_gamma 90.00
_symmetry_space_group_name_H-M 'I m m m'
_symmetry_Int_Tables_number 71
_symmetry_space_group_name_Hall '-I 2 2'
loop_
_atom_site_label
_atom_site_type_symbol
_atom_site_fract_x
_atom_site_fract_y
_atom_site_fract_z
Er1 Er 0.0000 0.0000 0.1663
B1 B 0.0000 0.2437 0.0000
Ru1 Ru 0.0000 0.0000 0.4156

No. 2
# Rb5B2S6 GGA-PBE relaxed
# Total moment, μB/f.u.: 1.03
# Formation energy (no corrections), kJ/mol of atoms: -87.94
data_Rb5B2S6
_chemical_formula_sum 'Rb20 B8 S24'
_cell_length_a 11.7591
_cell_length_b 8.9846
_cell_length_c 16.7113
_cell_angle_alpha 90.00
_cell_angle_beta 95.89
_cell_angle_gamma 90.00
_symmetry_space_group_name_H-M 'C 1 2/c 1'
_symmetry_Int_Tables_number 15
loop_
_symmetry_equiv_pos_as_xyz
'x,y,z'
'-x,-y,-z'
'-x,y,-z+1/2'
'x,-y,z+1/2'
'x+1/2,y+1/2,z'
'-x+1/2,-y+1/2,-z'
'-x+1/2,y+1/2,-z+1/2'
'x+1/2,-y+1/2,z+1/2'
loop_
_atom_site_label
_atom_site_type_symbol
_atom_site_fract_x
_atom_site_fract_y
_atom_site_fract_z
Rb1 Rb 0.0000 0.1856 0.2500
Rb2 Rb 0.0272 0.2395 0.9983
Rb3 Rb 0.1693 0.3835 0.6971
B1 B 0.2301 0.4799 0.4145
S1 S 0.0838 0.4714 0.3652
S2 S 0.1483 0.0248 0.6457
S3 S 0.2467 0.0043 0.4774

No. 3
# Th2HgAu3 GGA-PBE relaxed
# Total moment, μB/f.u.: 0.16
# ΔE_f, eV per formula unit: -2.7
# Energy relative to the lowest polymorph listed for this composition, meV/atom: 156
data_Th2HgAu3
_chemical_formula_sum 'Th4 Hg2 Au6'
_cell_length_a 3.5750
_cell_length_b 4.6202
_cell_length_c 18.5346
_cell_angle_alpha 90.00
_cell_angle_beta 90.00
_cell_angle_gamma 90.00
_symmetry_space_group_name_H-M 'I m m 2'
_symmetry_Int_Tables_number 44
loop_
_symmetry_equiv_pos_as_xyz
'x,y,z'
'-x,-y,z'
'-x,y,z'
'x,-y,z'
'x+1/2,y+1/2,z+1/2'
'-x+1/2,-y+1/2,z+1/2'
'-x+1/2,y+1/2,z+1/2'
'x+1/2,-y+1/2,z+1/2'
loop_
_atom_site_label
_atom_site_type_symbol
_atom_site_fract_x
_atom_site_fract_y
_atom_site_fract_z
Th1 Th 0.0000 0.0000 0.0000
Th2 Th 0.0000 0.5000 0.2154
Hg1 Hg 0.0000 0.0000 0.4068
Au1 Au 0.0000 0.0000 0.5630
Au2 Au 0.0000 0.5000 0.6443
Au3 Au 0.0000 0.5000 0.7928

No. 4
# Re2NiBr GGA-PBE relaxed
# Total moment, μB/f.u.: 0.00
# Formation energy (no corrections), kJ/mol of atoms: 64.47
# Energy relative to the lowest polymorph listed for this composition, meV/atom: 195
data_Re2NiBr
_chemical_formula_sum 'Re4 Ni2 Br2'
_cell_length_a 7.5460
_cell_length_b 2.9203
_cell_length_c 7.0774
_cell_angle_alpha 90.00
_cell_angle_beta 90.57
_cell_angle_gamma 90.00
_symmetry_space_group_name_H-M 'C 1 m 1'
_symmetry_Int_Tables_number 8
loop_
_symmetry_equiv_pos_as_xyz
'x,y,z'
'x,-y,z'
'x+1/2,y+1/2,z'
'x+1/2,-y+1/2,z'
loop_
_atom_site_label
_atom_site_type_symbol
_atom_site_fract_x
_atom_site_fract_y
_atom_site_fract_z
Re1 Re 0.0000 0.0000 0.0000
Re2 Re 0.2405 0.5000 0.8178
Ni1 Ni 0.4535 0.0000 0.6360
Br1 Br 0.4703 0.0000 0.2996

No. 5
# V2ReNiPb GGA-PBE relaxed
# Total moment, μB/f.u.: 3.30
# ΔE_f, eV per formula unit: 7.0
data_V2ReNiPb
_chemical_formula_sum 'V2 Re1 Ni1 Pb1'
_cell_length_a 4.6557
_cell_length_b 4.6557
_cell_length_c 5.2142
_cell_angle_alpha 90.00
_cell_angle_beta 90.00
_cell_angle_gamma 90.00
_symmetry_space_group_name_H-M 'P 4/m m m'
_symmetry_Int_Tables_number 123
_symmetry_space_group_name_Hall '-P 4 2'
loop_
_atom_site_label
_atom_site_type_symbol
_atom_site_fract_x
_atom_site_fract_y
_atom_site_fract_z
V1 V 0.0000 0.5000 0.0000
Re1 Re 0.0000 0.0000 0.0000
Ni1 Ni 0.5000 0.5000 0.5000
Pb1 Pb 0.0000 0.0000 0.5000

No. 6
# Pr2Dy6YEr GGA-PBE relaxed
# Total moment, μB/f.u.: 0.00
# ΔE_f, eV per formula unit: 1.1
data_Pr2Dy6YEr
_chemical_formula_sum 'Pr8 Dy24 Y4 Er4'
_cell_length_a 9.0273
_cell_length_b 15.1329
_cell_length_c 9.7112
_cell_angle_alpha 90.00
_cell_angle_beta 98.82
_cell_angle_gamma 90.00
_symmetry_space_group_name_H-M 'C 1 2/c 1'
_symmetry_Int_Tables_number 15
loop_
_symmetry_equiv_pos_as_xyz
'x,y,z'
'-x,-y,-z'
'-x,y,-z+1/2'
'x,-y,z+1/2'
'x+1/2,y+1/2,z'
'-x+1/2,-y+1/2,-z'
'-x+1/2,y+1/2,-z+1/2'
'x+1/2,-y+1/2,z+1/2'
loop_
_atom_site_label
_atom_site_type_symbol
_atom_site_fract_x
_atom_site_fract_y
_atom_site_fract_z
Pr1 Pr 0.2470 0.0532 0.0422
Dy1 Dy 0.0642 0.1912 0.4428
Dy2 Dy 0.1038 0.3948 0.6190
Dy3 Dy 0.2013 0.2228 0.8114
Y1 Y 0.0000 0.0175 0.7500
Er1 Er 0.0000 0.4072 0.2500

No. 7
# RbNa4Ac GGA-PBE relaxed
# Total moment, μB/f.u.: 1.04
# ΔE_f, eV per formula unit: 1.3
data_RbNa4Ac
_chemical_formula_sum 'Rb4 Na16 Ac4'
_cell_length_a 10.1939
_cell_length_b 10.1939
_cell_length_c 10.1939
_cell_angle_alpha 90.00
_cell_angle_beta 90.00
_cell_angle_gamma 90.00
_symmetry_space_group_name_H-M 'F -4 3 m'
_symmetry_Int_Tables_number 216
_symmetry_space_group_name_Hall 'F -4 2 3'
loop_
_atom_site_label
_atom_site_type_symbol
_atom_site_fract_x
_atom_site_fract_y
_atom_site_fract_z
Rb1 Rb 0.0000 0.0000 0.0000
Na1 Na 0.1240 0.1240 0.3760
Ac1 Ac 0.2500 0.2500 0.7500

No. 8
# Li2PtAu GGA-PBE relaxed
# Total moment, μB/f.u.: 0.00
# ΔE_f, eV per formula unit: -1.9
data_Li2PtAu
_chemical_formula_sum 'Li4 Pt2 Au2'
_cell_length_a 3.9120
_cell_length_b 3.9120
_cell_length_c 7.8886
_cell_angle_alpha 90.00
_cell_angle_beta 90.00
_cell_angle_gamma 90.00
_symmetry_space_group_name_H-M 'I -4 m 2'
_symmetry_Int_Tables_number 119
_symmetry_space_group_name_Hall 'I -4 -2'
loop_
_atom_site_label
_atom_site_type_symbol
_atom_site_fract_x
_atom_site_fract_y
_atom_site_fract_z
Li1 Li 0.0000 0.0000 0.0000
Li2 Li 0.0000 0.5000 0.2500
Pt1 Pt 0.0000 0.5000 0.7500
Au1 Au 0.0000 0.0000 0.5000